(1)
A relaxed structure of TcNiAu3, computed with PBE-GGA.

abc: 4.730 4.730 4.730
angles: 90.00 90.00 90.00
Each line ends with the local moment (μB).
Atoms (fractional coordinates):
Au (0.000, 0.000, 0.500)  0.04
Au (0.000, 0.500, 0.000)  0.02
Ni (0.000, 0.000, 0.000)  0.33
Tc (0.500, 0.500, 0.500)  3.60
Au (0.500, 0.000, 0.000)  0.04

As for the space-group type: No. 221. The offset from the most stable computed form is 0.0 meV per atom.

(2)
A relaxed structure of TcNiAu, computed with PBE-GGA.

abc: 4.083 4.083 4.083
angles: 60.00 60.00 60.00
Atoms (fractional coordinates):
Ni (0.750, 0.750, 0.750)
Tc (0.000, 0.000, 0.000)
Au (0.500, 0.500, 0.500)

As for the space-group type: No. 216. The offset from the most stable computed form is 479.8 meV per atom.

(3)
A relaxed structure of TcNiAu, computed with PBE-GGA.

abc: 6.400 2.759 10.234
angles: 90.00 104.81 90.00
Atoms (fractional coordinates):
Au (0.031, 0.500, 0.136)
Ni (0.324, 0.500, 0.528)
Tc (0.389, 0.000, 0.313)
Ni (0.676, 0.000, 0.972)
Tc (0.389, 0.500, 0.813)
Ni (0.324, 0.000, 0.028)
Ni (0.676, 0.500, 0.472)
Au (0.969, 0.000, 0.364)
Tc (0.611, 0.000, 0.687)
Au (0.969, 0.500, 0.864)
Au (0.031, 0.000, 0.636)
Tc (0.611, 0.500, 0.187)

As for the space-group type: No. 12. The offset from the most stable computed form is 116.3 meV per atom.

(4)
A relaxed structure of TcNiAu, computed with PBE-GGA.

abc: 4.086 2.727 15.860
angles: 90.00 90.00 90.00
Atoms (fractional coordinates):
Au (0.000, 0.000, 0.972)
Ni (0.500, 0.000, 0.545)
Ni (0.000, 0.500, 0.286)
Au (0.500, 0.500, 0.868)
Tc (0.000, 0.000, 0.632)
Tc (0.500, 0.000, 0.195)
Tc (0.000, 0.500, 0.132)
Tc (0.500, 0.500, 0.695)
Au (0.500, 0.000, 0.368)
Ni (0.000, 0.000, 0.786)
Au (0.000, 0.500, 0.472)
Ni (0.500, 0.500, 0.045)

As for the space-group type: No. 38. The offset from the most stable computed form is 96.0 meV per atom.

(5)
A relaxed structure of Tc2NiAu, computed with PBE-GGA.

abc: 2.761 2.761 7.645
angles: 90.00 90.00 89.98
Atoms (fractional coordinates):
Tc (0.000, 0.000, 0.994)
Tc (0.500, 0.500, 0.229)
Au (0.000, 0.000, 0.512)
Ni (0.500, 0.500, 0.765)

As for the space-group type: No. 99. The offset from the most stable computed form is 0.0 meV per atom.

(6)
A relaxed structure of TcNiAu, computed with PBE-GGA.

abc: 2.795 4.579 7.099
angles: 102.27 100.83 90.12
Atoms (fractional coordinates):
Tc (0.793, 0.247, 0.504)
Tc (0.207, 0.753, 0.496)
Ni (0.415, 0.190, 0.799)
Au (0.075, 0.292, 0.145)
Ni (0.585, 0.810, 0.201)
Au (0.925, 0.708, 0.855)

As for the space-group type: No. 2. The offset from the most stable computed form is 85.2 meV per atom.

(7)
A relaxed structure of Tc2NiAu, computed with PBE-GGA.

abc: 3.151 3.151 5.917
angles: 90.00 90.00 90.00
Atoms (fractional coordinates):
Ni (0.500, 0.500, 0.765)
Tc (0.000, 0.000, 0.996)
Au (0.000, 0.000, 0.522)
Tc (0.500, 0.500, 0.217)

As for the space-group type: No. 99. The offset from the most stable computed form is 79.0 meV per atom.

(8)
A relaxed structure of Tc2NiAu, computed with PBE-GGA.

abc: 9.063 9.063 9.063
angles: 17.51 17.51 17.51
Atoms (fractional coordinates):
Ni (0.746, 0.746, 0.746)
Tc (0.256, 0.256, 0.256)
Tc (0.001, 0.001, 0.001)
Au (0.496, 0.496, 0.496)

As for the space-group type: No. 160. The offset from the most stable computed form is 0.5 meV per atom.

(9)
A relaxed structure of Tc2NiAu, computed with PBE-GGA.

abc: 3.995 2.735 6.033
angles: 63.06 90.00 90.00
Atoms (fractional coordinates):
Au (0.500, 0.250, 0.250)
Tc (0.000, 0.038, 0.962)
Tc (0.000, 0.462, 0.538)
Ni (0.500, 0.750, 0.750)

As for the space-group type: No. 47. The offset from the most stable computed form is 71.9 meV per atom.

(10)
A relaxed structure of Tc2NiAu, computed with PBE-GGA.

abc: 4.705 4.705 4.705
angles: 131.27 131.27 71.38
Atoms (fractional coordinates):
Tc (0.750, 0.250, 0.500)
Ni (0.250, 0.750, 0.500)
Tc (0.000, 0.000, 0.000)
Au (0.500, 0.500, 0.000)

As for the space-group type: No. 119. The offset from the most stable computed form is 71.9 meV per atom.

(11)
A relaxed structure of TcNiAu4, computed with PBE-GGA.

abc: 5.400 5.400 5.400
angles: 60.00 60.00 60.00
Each line ends with the local moment (μB).
Atoms (fractional coordinates):
Au (0.375, 0.375, 0.875)  0.06
Au (0.375, 0.875, 0.375)  0.06
Tc (0.000, 0.000, 0.000)  3.10
Ni (0.750, 0.750, 0.750)  0.59
Au (0.375, 0.375, 0.375)  0.06
Au (0.875, 0.375, 0.375)  0.06

As for the space-group type: No. 216.

(12)
A relaxed structure of TcNi6Au, computed with PBE-GGA.

abc: 6.323 6.323 10.357
angles: 90.00 90.00 109.41
Atoms (fractional coordinates):
Ni (0.119, 0.364, 0.620)
Ni (0.371, 0.115, 0.130)
Au (0.500, 0.500, 0.002)
Tc (0.249, 0.751, 0.250)
Ni (0.000, 0.000, 0.250)
Ni (0.000, 0.000, 0.750)
Tc (0.000, 0.000, 0.995)
Ni (0.119, 0.364, 0.880)
Ni (0.881, 0.636, 0.880)
Ni (0.885, 0.629, 0.370)
Tc (0.751, 0.249, 0.250)
Ni (0.371, 0.115, 0.370)
Ni (0.500, 0.500, 0.750)
Ni (0.364, 0.119, 0.620)
Ni (0.115, 0.371, 0.130)
Au (0.745, 0.255, 0.750)
Ni (0.636, 0.881, 0.620)
Tc (0.000, 0.000, 0.505)
Ni (0.881, 0.636, 0.620)
Ni (0.755, 0.245, 0.009)
Ni (0.885, 0.629, 0.130)
Ni (0.629, 0.885, 0.370)
Ni (0.245, 0.755, 0.491)
Ni (0.245, 0.755, 0.009)
Ni (0.636, 0.881, 0.880)
Ni (0.115, 0.371, 0.370)
Ni (0.364, 0.119, 0.880)
Au (0.255, 0.745, 0.750)
Ni (0.755, 0.245, 0.491)
Au (0.500, 0.500, 0.498)
Ni (0.629, 0.885, 0.130)
Ni (0.500, 0.500, 0.250)

As for the space-group type: No. 65.

| no. | ΔH_f (0 K) (eV/atom) | magnetization (μB/f.u.) | total DFT energy (no corrections) (eV per atom) |
| --- | --- | --- | --- |
| 1 | 1.135 | 4.5 | -4.061 |
| 2 | 0.547 | 0.0 | -5.928 |
| 3 | 0.184 | 0.0 | -6.291 |
| 4 | 0.164 | 0.0 | -6.311 |
| 5 | 0.134 | 0.0 | -7.314 |
| 6 | 0.153 | 0.0 | -6.322 |
| 7 | 0.213 | 0.0 | -7.235 |
| 8 | 0.134 | 0.0 | -7.314 |
| 9 | 0.206 | 0.0 | -7.242 |
| 10 | 0.206 | 0.0 | -7.242 |
| 11 | 0.658 | 4.2 | -4.218 |
| 12 | 0.068 | 0.0 | -5.974 |